Record 1
Entry from Alexandria via LeMat-Bulk: a relaxed Ba2Ga3Au5 crystal (PBE-GGA).

The structure in CIF format:
```
data_Ba2Ga3Au5
_symmetry_space_group_name_H-M 'P -4 m 2'
_symmetry_Int_Tables_number 115
_cell_length_a 4.6772
_cell_length_b 4.6772
_cell_length_c 11.0701
_cell_angle_alpha 90.00
_cell_angle_beta 90.00
_cell_angle_gamma 90.00
loop_
_symmetry_equiv_pos_as_xyz
'x,y,z'
'y,-x,-z'
'-x,-y,z'
'-y,x,-z'
'-x,y,z'
'-y,-x,-z'
'x,-y,z'
'y,x,-z'
loop_
_atom_site_label
_atom_site_fract_x
_atom_site_fract_y
_atom_site_fract_z
_atom_site_occupancy
Ba1 0.0000 0.5000 0.2401 1
Ga1 0.0000 0.5000 0.6185 1
Ga2 0.5000 0.5000 0.5000 1
Au1 0.0000 0.0000 0.0000 1
Au2 0.0000 0.0000 0.5000 1
Au3 0.0000 0.5000 0.8496 1
Au4 0.5000 0.5000 0.0000 1
```

Properties
DOS(E_F) in states/eV/f.u.: 3.25
Energy above the most stable polymorph in this dataset in meV/atom: 55
Magnetic moment in μB/atom: 0.000


Record 2
Entry from Alexandria via LeMat-Bulk: a relaxed Ba2GaAu crystal (PBE-GGA).

The structure in CIF format:
```
data_Ba2GaAu
_symmetry_space_group_name_H-M 'I -4 2 d'
_symmetry_Int_Tables_number 122
_symmetry_space_group_name_Hall 'I -4 2bw'
_cell_length_a 8.8366
_cell_length_b 8.8366
_cell_length_c 8.2970
_cell_angle_alpha 90.00
_cell_angle_beta 90.00
_cell_angle_gamma 90.00
loop_
_atom_site_label
_atom_site_fract_x
_atom_site_fract_y
_atom_site_fract_z
_atom_site_occupancy
Ba1 0.2362 0.2500 0.1250 1
Ga1 0.0000 0.0000 0.5000 1
Au1 0.0000 0.0000 0.0000 1
```

Properties
DOS(E_F) in states/eV/f.u.: 3.49
Total DFT energy (no corrections) in Ry per atom: -0.20193
Magnetic moment in μB/atom: 0.000


Record 3
Entry from Alexandria via LeMat-Bulk: a relaxed Ba3Ga2Au3 crystal (PBE-GGA).

The structure in CIF format:
```
data_Ba3Ga2Au3
_symmetry_space_group_name_H-M 'P -1'
_symmetry_Int_Tables_number 2
_cell_length_a 4.2534
_cell_length_b 6.0430
_cell_length_c 9.8412
_cell_angle_alpha 99.19
_cell_angle_beta 102.45
_cell_angle_gamma 90.00
loop_
_symmetry_equiv_pos_as_xyz
'x,y,z'
'-x,-y,-z'
loop_
_atom_site_label
_atom_site_fract_x
_atom_site_fract_y
_atom_site_fract_z
_atom_site_occupancy
Ba1 0.0000 0.0000 0.0000 1
Ba2 0.1422 0.5667 0.2829 1
Ga1 0.2295 0.1431 0.4603 1
Au1 0.3488 0.9277 0.6967 1
Au2 0.5000 0.5000 0.0000 1
```

Properties
DOS(E_F) in states/eV/f.u.: 4.69
Energy above the most stable polymorph in this dataset in meV/atom: 53
Magnetic moment in μB/atom: 0.000


Record 4
Entry from Alexandria via LeMat-Bulk: a relaxed Ba2Ga2Au crystal (PBE-GGA).

The structure in CIF format:
```
data_Ba2Ga2Au
_symmetry_space_group_name_H-M 'I 4/m m m'
_symmetry_Int_Tables_number 139
_symmetry_space_group_name_Hall '-I 4 2'
_cell_length_a 6.5716
_cell_length_b 6.5716
_cell_length_c 7.6836
_cell_angle_alpha 90.00
_cell_angle_beta 90.00
_cell_angle_gamma 90.00
loop_
_atom_site_label
_atom_site_fract_x
_atom_site_fract_y
_atom_site_fract_z
_atom_site_occupancy
Ba1 0.0000 0.5000 0.2500 1
Ga1 0.0000 0.0000 0.1558 1
Au1 0.0000 0.0000 0.5000 1
```

Properties
DOS(E_F) in states/eV/f.u.: 4.34
Energy above the most stable polymorph in this dataset in meV/atom: 197
Magnetic moment in μB/atom: 0.000